This record from Alexandria via LeMat-Bulk describes a relaxed CaHf2Os crystal. The functional is PBE-GGA.

a = 8.0508 Å, b = 8.0508 Å, c = 6.0499 Å
α = 90.00°, β = 90.00°, γ = 90.00°
With the nearest neighbours (Å) after each atom.
Space group I-42d (No. 122)
Asymmetric unit:
Ca 0.0000 0.0000 0.0000  2 Os 3.02, 8 Hf 3.35-3.37
Hf 0.1776 0.2500 0.6250  2 Os 2.58
Os 0.0000 0.0000 0.5000  4 Hf 2.58

Computed properties:
formation energy from the elements	1.15	eV per formula unit
final energy	-127.94	eV/cell
magnetic moment	0.000	μB/atom
D(E_F)	1.765	states/eV per atom
energy relative to the lowest polymorph listed for this composition	0.1859	eV/atom